P) DFT (PBE) results for a relaxed PaTaRe crystal.

Summary:
Its space-group type is R-3m.

Unit cell a=4.9861 b=4.9861 c=6.4881 alpha=67.40 beta=67.40 gamma=60.00
Last column: nearest neighbours and their distance in Å.
Fractional positions:
1 Re 0.2704 0.2704 0.1887  4 Ta 2.62-2.91, 1 Pa 2.72
2 Pa 0.8853 0.8853 0.3442  4 Re 2.72-3.02, 3 Ta 2.92
3 Ta 0.4204 0.4204 0.7387  4 Re 2.62-2.91, 1 Ta 2.78, 3 Pa 2.92
4 Pa 0.1147 0.1147 0.6558  4 Re 2.72-3.02, 3 Ta 2.92
5 Ta 0.5796 0.5796 0.2613  4 Re 2.62-2.91, 1 Ta 2.78, 3 Pa 2.92
6 Re 0.7296 0.7296 0.8113  4 Ta 2.62-2.91, 1 Pa 2.72

Q) DFT (PBE) results for a relaxed PaTaRe crystal.

Summary:
Its space-group type is I4mm.

Unit cell a=3.2073 b=3.2073 c=6.2605 alpha=104.84 beta=104.84 gamma=90.00
Last column: nearest neighbours and their distance in Å.
Fractional positions:
1 Pa 0.2942 0.2942 0.5884  4 Re 3.02, 4 Pa 3.21, 4 Ta 3.28
2 Ta 0.5910 0.5910 0.1821  4 Re 2.70
3 Re 0.9648 0.9648 0.9296  4 Ta 2.70, 4 Pa 3.02

Most favorable structure: Q). The second most favorable one is 36.4 kJ/mol of atoms above it.

P) DFT (PBE) results for a relaxed TbPa2Re crystal.

Summary:
Its space-group type is R-3m.

Unit cell a=3.7807 b=3.7807 c=9.0797 alpha=77.98 beta=77.98 gamma=60.00
Last column: nearest neighbours and their distance in Å.
Fractional positions:
1 Tb 0.5000 0.5000 0.5000  6 Pa 3.50, 6 Tb 3.78
2 Pa 0.7298 0.7298 0.8107  3 Re 2.75
3 Re 0.0000 0.0000 0.0000  6 Pa 2.75
4 Pa 0.2702 0.2702 0.1893  3 Re 2.75

Q) DFT (PBE) results for a relaxed TbPa2Re crystal.

Summary:
Its space-group type is P4/mmm.

Unit cell a=3.3127 b=3.3127 c=8.9263 alpha=90.00 beta=90.00 gamma=90.00
Last column: nearest neighbours and their distance in Å.
Fractional positions:
1 Pa 0.0000 0.0000 0.2031  4 Re 2.96, 4 Pa 3.31
2 Re 0.5000 0.5000 0.0000  8 Pa 2.96, 4 Re 3.31
3 Pa 0.0000 0.0000 0.7969  4 Re 2.96, 4 Pa 3.31
4 Tb 0.5000 0.5000 0.5000  4 Tb 3.31, 8 Pa 3.54

Most favorable structure: Q). The second most favorable one is 15.3 kJ/mol of atoms above it.

P) DFT (PBE) results for a relaxed PaReTc crystal.

Summary:
Its space-group type is Amm2.

Unit cell a=5.6678 b=5.6678 c=8.5950 alpha=90.00 beta=90.00 gamma=126.20
Last column: nearest neighbours and their distance in Å.
Fractional positions:
1 Re 0.9987 0.0013 0.2483  4 Tc 2.66-2.78, 2 Re 2.66
2 Re 0.1716 0.3388 0.5000  4 Re 2.51-2.66, 1 Tc 2.77
3 Pa 0.3329 0.6671 0.1783  7 Tc 2.99-3.22, 3 Pa 3.07-3.30, 4 Re 3.12-3.15
4 Pa 0.6664 0.3336 0.3205  5 Tc 2.99-3.21, 3 Pa 3.09-3.30, 6 Re 3.14-3.24
5 Pa 0.3329 0.6671 0.8217  7 Tc 2.99-3.22, 3 Pa 3.07-3.30, 4 Re 3.12-3.15
6 Tc 0.8274 0.6582 0.0000  3 Tc 2.49-2.78, 2 Re 2.66
7 Tc 0.3418 0.1726 0.0000  3 Tc 2.49-2.78, 2 Re 2.66
8 Tc 0.1721 0.8279 0.5000  6 Re 2.77-2.90, 4 Pa 2.99
9 Tc 0.8303 0.1697 0.0000  2 Re 2.73, 4 Tc 2.78-2.89, 4 Pa 2.99
10 Re 0.6612 0.8284 0.5000  4 Re 2.51-2.66, 1 Tc 2.77
11 Re 0.9987 0.0013 0.7517  4 Tc 2.66-2.78, 2 Re 2.66
12 Pa 0.6664 0.3336 0.6795  5 Tc 2.99-3.21, 3 Pa 3.09-3.30, 6 Re 3.14-3.24

Q) DFT (PBE) results for a relaxed PaReTc crystal.

Summary:
Its space-group type is I4mm.

Unit cell a=3.7075 b=3.7075 c=4.8797 alpha=112.33 beta=112.33 gamma=90.00
Last column: nearest neighbours and their distance in Å.
Fractional positions:
1 Re 0.3586 0.3586 0.7171  1 Pa 2.56, 4 Tc 2.78
2 Pa 0.6697 0.6697 0.3395  1 Tc 2.49, 1 Re 2.56
3 Tc 0.9717 0.9717 0.9434  1 Pa 2.49, 4 Re 2.78

R) DFT (PBE) results for a relaxed PaReTc crystal.

Summary:
Its space-group type is P4/nmm.

Unit cell a=3.4395 b=3.4395 c=9.3130 alpha=90.00 beta=90.00 gamma=90.00
Last column: nearest neighbours and their distance in Å.
Fractional positions:
1 Tc 0.5000 0.0000 0.3974  4 Pa 2.71, 1 Re 3.00
2 Pa 0.5000 0.0000 0.7303  4 Tc 2.71, 4 Re 3.03
3 Pa 0.0000 0.5000 0.2697  4 Tc 2.71, 4 Re 3.03
4 Tc 0.0000 0.5000 0.6026  4 Pa 2.71, 1 Re 3.00
5 Re 0.0000 0.5000 0.9247  4 Re 2.81, 1 Tc 3.00, 4 Pa 3.03
6 Re 0.5000 0.0000 0.0753  4 Re 2.81, 1 Tc 3.00, 4 Pa 3.03

Most favorable structure: P). The second most favorable one is 34.4 kJ/mol of atoms above it.

P) DFT (PBE) results for a relaxed PaReTc crystal.

Summary:
Its space-group type is P3m1.

Unit cell a=2.9233 b=4.5630 c=4.5630 alpha=120.00 beta=90.00 gamma=90.00
Last column: nearest neighbours and their distance in Å.
Fractional positions:
1 Pa 0.3390 0.6667 0.3333  3 Tc 2.74, 3 Re 2.75, 2 Pa 2.92
2 Re 0.0698 0.0000 0.0000  3 Pa 2.75, 2 Re 2.92, 6 Tc 2.98-3.04
3 Tc 0.5911 0.3333 0.6667  3 Pa 2.74, 2 Tc 2.92, 6 Re 2.98-3.04

Q) DFT (PBE) results for a relaxed PaReTc crystal.

Summary:
Its space-group type is Cmcm.

Unit cell a=4.7401 b=5.3827 c=5.1442 alpha=90.00 beta=117.43 gamma=90.00
Last column: nearest neighbours and their distance in Å.
Fractional positions:
1 Pa 0.7222 0.7500 0.9444  1 Tc 2.47
2 Re 0.0000 0.5000 0.5000  2 Re 2.69, 4 Tc 2.76, 2 Pa 2.87
3 Tc 0.5481 0.2500 0.5961  1 Pa 2.47, 4 Re 2.76
4 Pa 0.2778 0.2500 0.0556  1 Tc 2.47
5 Re 0.0000 0.0000 0.5000  2 Re 2.69, 4 Tc 2.76, 2 Pa 2.87
6 Tc 0.4519 0.7500 0.4039  1 Pa 2.47, 4 Re 2.76

Most favorable structure: Q). The second most favorable one is 21.8 kJ/mol of atoms above it.

P) DFT (PBE) results for a relaxed Pa2ReTe crystal.

Summary:
Its space-group type is Cmmm.

Unit cell a=3.3711 b=3.3711 c=8.2526 alpha=90.02 beta=90.02 gamma=81.74
Last column: nearest neighbours and their distance in Å.
Fractional positions:
1 Te 0.5000 0.5000 0.0000  8 Pa 3.18-3.43, 4 Te 3.37
2 Pa 0.0003 0.0003 0.2773  4 Re 2.87-3.14, 2 Te 3.18
3 Pa 0.9997 0.9997 0.7227  4 Re 2.87-3.14, 2 Te 3.18
4 Re 0.5000 0.5000 0.5000  8 Pa 2.87-3.14

Q) DFT (PBE) results for a relaxed Pa2ReTe crystal.

Summary:
Its space-group type is R-3m.

Unit cell a=3.2653 b=3.2653 c=10.5299 alpha=81.08 beta=81.08 gamma=60.00
Last column: nearest neighbours and their distance in Å.
Fractional positions:
1 Pa 0.0815 0.0815 0.7554  1 Re 2.53
2 Te 0.5000 0.5000 0.5000  6 Pa 3.25, 6 Te 3.27
3 Re 0.0000 0.0000 0.0000  2 Pa 2.53
4 Pa 0.9185 0.9185 0.2446  1 Re 2.53

Most favorable structure: P). The second most favorable one is 65.7 kJ/mol of atoms above it.

P) DFT (PBE) results for a relaxed PaTi2Re crystal.

Summary:
Its space-group type is P4/mmm.

Unit cell a=3.1120 b=3.1120 c=7.6417 alpha=90.00 beta=90.00 gamma=90.00
Last column: nearest neighbours and their distance in Å.
Fractional positions:
1 Ti 0.0000 0.0000 0.1964  4 Re 2.66
2 Pa 0.5000 0.5000 0.5000  4 Pa 3.11, 8 Ti 3.20
3 Ti 0.0000 0.0000 0.8036  4 Re 2.66
4 Re 0.5000 0.5000 0.0000  8 Ti 2.66

Q) DFT (PBE) results for a relaxed PaTi2Re crystal.

Summary:
Its space-group type is Fm-3m.

Unit cell a=4.6196 b=4.6196 c=4.6199 alpha=60.00 beta=60.00 gamma=60.00
Last column: nearest neighbours and their distance in Å.
Fractional positions:
1 Ti 0.2500 0.2500 0.2499  4 Re 2.83, 4 Pa 2.83
2 Re 0.0000 0.0000 0.0000  8 Ti 2.83
3 Ti 0.7500 0.7500 0.7501  4 Re 2.83, 4 Pa 2.83
4 Pa 0.5000 0.5000 0.5000  8 Ti 2.83

Most favorable structure: P). The second most favorable one is 6.8 kJ/mol of atoms above it.

P) DFT (PBE) results for a relaxed Pa2TlRe crystal.

Summary:
Its space-group type is P4/mmm.

Unit cell a=3.2259 b=3.2259 c=8.9659 alpha=90.00 beta=90.00 gamma=90.00
Last column: nearest neighbours and their distance in Å.
Fractional positions:
1 Pa 0.0000 0.0000 0.2080  4 Re 2.95, 4 Pa 3.23
2 Re 0.5000 0.5000 0.0000  8 Pa 2.95, 4 Re 3.23
3 Tl 0.5000 0.5000 0.5000  4 Tl 3.23, 8 Pa 3.47
4 Pa 0.0000 0.0000 0.7920  4 Re 2.95, 4 Pa 3.23

Q) DFT (PBE) results for a relaxed Pa2TlRe crystal.

Summary:
Its space-group type is R-3m.

Unit cell a=3.1705 b=3.1705 c=10.6517 alpha=81.44 beta=81.44 gamma=60.00
Last column: nearest neighbours and their distance in Å.
Fractional positions:
1 Pa 0.7393 0.7393 0.7821  3 Re 2.93, 6 Pa 3.17
2 Re 0.0000 0.0000 0.0000  6 Pa 2.93, 6 Re 3.17
3 Tl 0.5000 0.5000 0.5000  6 Tl 3.17, 6 Pa 3.48
4 Pa 0.2607 0.2607 0.2179  3 Re 2.93, 6 Pa 3.17

Most favorable structure: P). The second most favorable one is 23.6 kJ/mol of atoms above it.

P) DFT (PBE) results for a relaxed TmPa2Re crystal.

Summary:
Its space-group type is R-3m.

Unit cell a=3.7552 b=3.7552 c=9.0186 alpha=77.98 beta=77.98 gamma=60.00
Last column: nearest neighbours and their distance in Å.
Fractional positions:
1 Pa 0.2690 0.2690 0.1929  3 Re 2.75
2 Tm 0.5000 0.5000 0.5000  6 Pa 3.45, 6 Tm 3.76
3 Re 0.0000 0.0000 0.0000  6 Pa 2.75
4 Pa 0.7310 0.7310 0.8071  3 Re 2.75

Q) DFT (PBE) results for a relaxed TmPa2Re crystal.

Summary:
Its space-group type is P4/mmm.

Unit cell a=3.3042 b=3.3042 c=8.8856 alpha=90.00 beta=90.00 gamma=90.00
Last column: nearest neighbours and their distance in Å.
Fractional positions:
1 Pa 0.0000 0.0000 0.7958  4 Re 2.96, 4 Pa 3.30
2 Re 0.5000 0.5000 0.0000  8 Pa 2.96, 4 Re 3.30
3 Pa 0.0000 0.0000 0.2042  4 Re 2.96, 4 Pa 3.30
4 Tm 0.5000 0.5000 0.5000  4 Tm 3.30, 8 Pa 3.52

Most favorable structure: Q). The second most favorable one is 15.9 kJ/mol of atoms above it.

P) DFT (PBE) results for a relaxed UPa2Re crystal.

Summary:
Its space-group type is R-3m.

Unit cell a=3.0413 b=3.0413 c=10.6330 alpha=81.78 beta=81.78 gamma=60.00
Last column: nearest neighbours and their distance in Å.
Fractional positions:
1 U 0.0000 0.0000 0.0000  2 Pa 2.89, 6 U 3.04
2 Pa 0.0919 0.0919 0.7242  1 U 2.89, 3 Re 2.93, 6 Pa 3.04
3 Pa 0.9081 0.9081 0.2758  1 U 2.89, 3 Re 2.93, 6 Pa 3.04
4 Re 0.5000 0.5000 0.5000  6 Pa 2.93, 6 Re 3.04

Q) DFT (PBE) results for a relaxed UPa2Re crystal.

Summary:
Its space-group type is P4/mmm.

Unit cell a=3.1852 b=5.1234 c=5.1234 alpha=90.00 beta=90.00 gamma=90.00
Last column: nearest neighbours and their distance in Å.
Fractional positions:
1 Re 0.5000 0.0000 0.0000  8 Pa 3.02, 2 Re 3.19
2 U 0.5000 0.5000 0.5000  8 Pa 3.02, 2 U 3.19
3 Pa 0.0000 0.0000 0.5000  4 Re 3.02, 4 U 3.02, 2 Pa 3.19
4 Pa 0.0000 0.5000 0.0000  4 Re 3.02, 4 U 3.02, 2 Pa 3.19

R) DFT (PBE) results for a relaxed UPa2Re crystal.

Summary:
Its space-group type is Fm-3m.

Unit cell a=4.9250 b=4.9250 c=4.9250 alpha=60.00 beta=60.00 gamma=60.00
Last column: nearest neighbours and their distance in Å.
Fractional positions:
1 Pa 0.2500 0.2500 0.2500  4 U 3.02, 4 Re 3.02
2 Pa 0.7500 0.7500 0.7500  4 Re 3.02, 4 U 3.02
3 Re 0.5000 0.5000 0.5000  8 Pa 3.02
4 U 0.0000 0.0000 0.0000  8 Pa 3.02

Most favorable structure: Q). The second most favorable one is 11.9 kJ/mol of atoms above it.

P) DFT (PBE) results for a relaxed Pa2VRe crystal.

Summary:
Its space-group type is Fm-3m.

Unit cell a=4.8749 b=4.8749 c=4.8749 alpha=60.00 beta=60.00 gamma=60.00
Last column: nearest neighbours and their distance in Å.
Fractional positions:
1 V 0.5000 0.5000 0.5000  8 Pa 2.99
2 Pa 0.2500 0.2500 0.2500  4 V 2.99, 4 Re 2.99
3 Re 0.0000 0.0000 0.0000  8 Pa 2.99
4 Pa 0.7500 0.7500 0.7500  4 V 2.99, 4 Re 2.99

Q) DFT (PBE) results for a relaxed Pa2VRe crystal.

Summary:
Its space-group type is P4/mmm.

Unit cell a=3.3615 b=4.9421 c=4.9421 alpha=90.00 beta=90.00 gamma=90.00
Last column: nearest neighbours and their distance in Å.
Fractional positions:
1 Re 0.5000 0.5000 0.5000  8 Pa 2.99
2 V 0.5000 0.0000 0.0000  8 Pa 2.99
3 Pa 0.0000 0.5000 0.0000  4 Re 2.99, 4 V 2.99
4 Pa 0.0000 0.0000 0.5000  4 Re 2.99, 4 V 2.99

R) DFT (PBE) results for a relaxed Pa2VRe crystal.

Summary:
Its space-group type is R-3m.

Unit cell a=3.0261 b=3.0261 c=10.1320 alpha=81.41 beta=81.41 gamma=60.00
Last column: nearest neighbours and their distance in Å.
Fractional positions:
1 Pa 0.0876 0.0876 0.7372  1 V 2.62
2 Re 0.5000 0.5000 0.5000  6 Pa 2.94, 6 Re 3.03
3 Pa 0.9124 0.9124 0.2628  1 V 2.62
4 V 0.0000 0.0000 0.0000  2 Pa 2.62

Most favorable structure: Q). The second most favorable one is 0.9 kJ/mol of atoms above it.

P) DFT (PBE) results for a relaxed PaV2Re crystal.

Summary:
Its space-group type is Fm-3m.

Unit cell a=4.4994 b=4.4994 c=4.4993 alpha=60.00 beta=60.00 gamma=60.00
Last column: nearest neighbours and their distance in Å.
Fractional positions:
1 Re 0.5000 0.5000 0.5000  8 V 2.76
2 Pa 0.0000 0.0000 0.0000  8 V 2.76
3 V 0.2500 0.2500 0.2501  4 Pa 2.76, 4 Re 2.76
4 V 0.7500 0.7500 0.7499  4 Pa 2.76, 4 Re 2.76

Q) DFT (PBE) results for a relaxed PaV2Re crystal.

Summary:
Its space-group type is P4/mmm.

Unit cell a=3.1554 b=4.5440 c=4.5440 alpha=90.00 beta=90.00 gamma=90.00
Last column: nearest neighbours and their distance in Å.
Fractional positions:
1 V 0.0000 0.5000 0.0000  4 Pa 2.77, 4 Re 2.77
2 Pa 0.5000 0.5000 0.5000  8 V 2.77
3 Re 0.5000 0.0000 0.0000  8 V 2.77
4 V 0.0000 0.0000 0.5000  4 Re 2.77, 4 Pa 2.77

R) DFT (PBE) results for a relaxed PaV2Re crystal.

Summary:
Its space-group type is P4/mmm.

Unit cell a=3.1813 b=3.1813 c=6.4763 alpha=90.00 beta=90.00 gamma=90.00
Last column: nearest neighbours and their distance in Å.
Fractional positions:
1 V 0.0000 0.0000 0.2304  4 Re 2.70, 4 Pa 2.85, 1 V 2.98
2 V 0.0000 0.0000 0.7696  4 Re 2.70, 4 Pa 2.85, 1 V 2.98
3 Pa 0.5000 0.5000 0.5000  8 V 2.85, 4 Pa 3.18
4 Re 0.5000 0.5000 0.0000  8 V 2.70

Most favorable structure: P). The second most favorable one is 12.9 kJ/mol of atoms above it.

P) DFT (PBE) results for a relaxed PaReW crystal.

Summary:
Its space-group type is Imma.

Unit cell a=5.3660 b=5.3660 c=5.3660 alpha=100.10 beta=115.00 gamma=113.70
Last column: nearest neighbours and their distance in Å.
Fractional positions:
1 Re 0.5000 0.0000 0.5000  4 W 2.68, 2 Re 2.93, 2 Pa 2.94
2 Pa 0.2500 0.1196 0.8696  2 Re 2.94, 2 W 2.99
3 Pa 0.7500 0.8804 0.1304  2 Re 2.94, 2 W 2.99
4 W 0.5000 0.5000 0.5000  4 Re 2.68, 2 W 2.88, 2 Pa 2.99
5 Re 0.0000 0.5000 0.5000  4 W 2.68, 2 Re 2.93, 2 Pa 2.94
6 W 0.0000 0.5000 0.0000  4 Re 2.68, 2 W 2.88, 2 Pa 2.99

Q) DFT (PBE) results for a relaxed PaReW crystal.

Summary:
Its space-group type is P4/nmm.

Unit cell a=3.8211 b=3.8211 c=7.9230 alpha=90.00 beta=90.00 gamma=90.00
Last column: nearest neighbours and their distance in Å.
Fractional positions:
1 Pa 0.5000 0.5000 0.5000  4 Pa 2.70
2 W 0.0000 0.5000 0.1325  5 Re 2.55-2.74
3 W 0.5000 0.0000 0.8675  5 Re 2.55-2.74
4 Pa 0.0000 0.0000 0.5000  4 Pa 2.70
5 Re 0.0000 0.5000 0.8102  5 W 2.55-2.74
6 Re 0.5000 0.0000 0.1898  5 W 2.55-2.74

Most favorable structure: P). The second most favorable one is 72.2 kJ/mol of atoms above it.